1.
Below is K2RbTmV2O8 after structural relaxation, with properties calculated at the PBEsol level.

```
K2RbTmV2O8
1.0
5.8779 0.0000 0.0000
-2.9390 5.0904 0.0000
0.0000 0.0000 7.5793
K Rb Tm V O
2 1 1 2 8
Cartesian
2.9390 1.6968 2.3539 K
0.0000 3.3936 5.2253 K
0.0000 0.0000 0.0000 Rb
0.0000 0.0000 3.7896 Tm
2.9390 1.6968 5.7009 V
0.0000 3.3936 1.8784 V
2.9390 1.6968 7.3563 O
0.0000 3.3936 0.2229 O
2.9390 3.3229 5.0926 O
0.0000 1.7675 2.4866 O
4.3472 0.8837 5.0926 O
-1.4083 4.2067 2.4866 O
1.5307 0.8837 5.0926 O
1.4083 4.2067 2.4866 O
```

Computed properties:
- formation energy from raw total energies (eV per atom) = -2.6073
- total magnetization (μB/atom) = 0.00
- symmetry = P-3m1

=====

2.
Below is Tm2AlZn after structural relaxation, with properties calculated at the PBEsol level.

```
Tm2AlZn
1.0
-0.0620 0.4011 4.9166
1.5220 -3.7648 2.8013
4.2388 0.3421 2.5006
Zn Tm Al
1 2 1
Cartesian
2.8495 -1.5108 5.1093 Zn
1.4247 -0.7554 2.5546 Tm
4.2742 -2.2662 7.6639 Tm
0.0000 0.0000 0.0000 Al
```

Computed properties:
- total magnetization (μB/atom) = 0.00
- symmetry = Fm-3m
- calculated formation energy (kJ/mol of atoms) = -37